! KYCuS3 (PBE, optimized geometry); values from VASP
! Space-group type: P2_1/m
! Uncorrected formation energy in meV/atom: -1270
&SYSTEM
  ibrav = 0, nat = 12, ntyp = 4
/
ATOMIC_SPECIES
K 39.10 K.upf
Y 88.91 Y.upf
Cu 63.55 Cu.upf
S 32.06 S.upf
ATOMIC_POSITIONS angstrom
K 0.990 1.146 2.026
K 2.969 5.074 6.723
Y 0.990 5.477 1.161
Y 2.969 0.743 7.588
Cu 0.990 -0.769 5.387
Cu 2.969 6.990 3.362
S 2.969 7.365 1.098
S 0.990 -1.144 7.651
S 0.990 5.963 3.983
S 2.969 0.257 4.766
S 2.969 3.591 1.341
S 0.990 2.629 7.409
CELL_PARAMETERS angstrom
3.959 0.000 0.000
0.000 8.720 -0.197
0.000 -2.499 8.947



! CaInBr2 (PBE, optimized geometry); values from VASP
! Offset from the most stable computed form in meV/atom: 170
! Space-group type: Imm2
! Uncorrected formation energy in meV/atom: -1108
&SYSTEM
  ibrav = 0, nat = 4, ntyp = 3
/
ATOMIC_SPECIES
Ca 40.08 Ca.upf
Br 79.90 Br.upf
In 114.82 In.upf
ATOMIC_POSITIONS angstrom
Ca -5.391 -4.575 -4.805
Br -4.742 -0.634 0.594
Br -8.254 -7.918 -8.654
In -2.616 -1.825 -1.770
CELL_PARAMETERS angstrom
-3.409 -3.136 -6.657
-2.748 -6.119 -4.558
-4.707 -0.428 0.875



! K2CuNi (PBE, optimized geometry); values from VASP
! Offset from the most stable computed form in meV/atom: 411
! Space-group type: P4/mmm
! Formation enthalpy at 0 K in eV per formula unit: 3.15
&SYSTEM
  ibrav = 0, nat = 4, ntyp = 3
/
ATOMIC_SPECIES
Cu 63.55 Cu.upf
K 39.10 K.upf
Ni 58.69 Ni.upf
ATOMIC_POSITIONS angstrom
Cu -3.770 -4.024 4.740
K -0.016 -0.008 0.026
K -2.318 -1.163 3.718
Ni -1.436 -2.853 0.995
CELL_PARAMETERS angstrom
-2.353 -1.598 -1.966
1.815 -2.936 0.213
-4.668 -2.342 7.489



Number 1: Fermi-level density of states 0.7183 states/eV/atom, magnetization 0.00 μB per formula unit. Number 2: Fermi-level density of states 0.3553 states/eV/atom, magnetization 0.01 μB per formula unit. Number 3: Fermi-level density of states 1.7093 states/eV/atom, magnetization 0.49 μB per formula unit.